(1)
# PBE Pm2H3O, optimized geometry
# **Raw total energy**: -65.30 eV per cell
# **D(E_F)**: 2.72 states/eV/cell
# **Calculated density**: 6.23 g/cm³
# **Magnetization**: 0.00 μB per formula unit
data_Pm2H3O
_chemical_formula_sum 'Pm4 H6 O2'
_symmetry_space_group_name_H-M 'P n -3 m'
_symmetry_Int_Tables_number 224
_cell_length_a 5.4815
_cell_length_b 5.4815
_cell_length_c 5.4815
_cell_angle_alpha 90.00
_cell_angle_beta 90.00
_cell_angle_gamma 90.00
loop_
_symmetry_equiv_pos_as_xyz
'x,y,z'
'-x,-y,-z'
'-y,x+1/2,z+1/2'
'y,-x+1/2,-z+1/2'
'-x+1/2,-y+1/2,z'
'x+1/2,y+1/2,-z'
'y+1/2,-x,z+1/2'
'-y+1/2,x,-z+1/2'
'x,-y+1/2,-z+1/2'
'-x,y+1/2,z+1/2'
'-y,-x,-z'
'y,x,z'
'-x+1/2,y,-z+1/2'
'x+1/2,-y,z+1/2'
'y+1/2,x+1/2,-z'
'-y+1/2,-x+1/2,z'
'z,x,y'
'-z,-x,-y'
'z+1/2,-y,x+1/2'
'-z+1/2,y,-x+1/2'
'z,-x+1/2,-y+1/2'
'-z,x+1/2,y+1/2'
'z+1/2,y+1/2,-x'
'-z+1/2,-y+1/2,x'
'-z+1/2,x,-y+1/2'
'z+1/2,-x,y+1/2'
'-z,-y,-x'
'z,y,x'
'-z+1/2,-x+1/2,y'
'z+1/2,x+1/2,-y'
'-z,y+1/2,x+1/2'
'z,-y+1/2,-x+1/2'
'y,z,x'
'-y,-z,-x'
'x+1/2,z+1/2,-y'
'-x+1/2,-z+1/2,y'
'-y+1/2,z,-x+1/2'
'y+1/2,-z,x+1/2'
'-x,z+1/2,y+1/2'
'x,-z+1/2,-y+1/2'
'-y+1/2,-z+1/2,x'
'y+1/2,z+1/2,-x'
'-x,-z,-y'
'x,z,y'
'y,-z+1/2,-x+1/2'
'-y,z+1/2,x+1/2'
'x+1/2,-z,y+1/2'
'-x+1/2,z,-y+1/2'
loop_
_atom_site_label
_atom_site_type_symbol
_atom_site_fract_x
_atom_site_fract_y
_atom_site_fract_z
Pm1 Pm 0.0000 0.0000 0.0000
H1 H 0.2500 0.2500 0.7500
O1 O 0.2500 0.2500 0.2500

---

(2)
# PBE Pm4H2O, optimized geometry
# **Raw total energy**: -73.82 eV per cell
# **D(E_F)**: 10.87 states/eV/cell
# **Calculated density**: 7.21 g/cm³
# **Magnetization**: 0.00 μB per formula unit
data_Pm4H2O
_chemical_formula_sum 'Pm8 H4 O2'
_symmetry_space_group_name_H-M 'I 4/m m m'
_symmetry_Int_Tables_number 139
_symmetry_space_group_name_Hall '-I 4 2'
_cell_length_a 4.8574
_cell_length_b 4.8574
_cell_length_c 11.6811
_cell_angle_alpha 90.00
_cell_angle_beta 90.00
_cell_angle_gamma 90.00
loop_
_atom_site_label
_atom_site_type_symbol
_atom_site_fract_x
_atom_site_fract_y
_atom_site_fract_z
Pm1 Pm 0.0000 0.0000 0.2277
Pm2 Pm 0.0000 0.5000 0.0000
H1 H 0.0000 0.0000 0.4204
O1 O 0.0000 0.0000 0.0000

---

(3)
# PBE PmHO, optimized geometry
# **Raw total energy**: -78.56 eV per cell
# **D(E_F)**: 0.00 states/eV/cell
# **Calculated density**: 6.46 g/cm³
# **Magnetization**: 0.00 μB per formula unit
data_PmHO
_chemical_formula_sum 'Pm4 H4 O4'
_symmetry_space_group_name_H-M 'F -4 3 m'
_symmetry_Int_Tables_number 216
_symmetry_space_group_name_Hall 'F -4 2 3'
_cell_length_a 5.5017
_cell_length_b 5.5017
_cell_length_c 5.5017
_cell_angle_alpha 90.00
_cell_angle_beta 90.00
_cell_angle_gamma 90.00
loop_
_atom_site_label
_atom_site_type_symbol
_atom_site_fract_x
_atom_site_fract_y
_atom_site_fract_z
Pm1 Pm 0.0000 0.0000 0.0000
H1 H 0.2500 0.2500 0.7500
O1 O 0.2500 0.2500 0.2500

---

(4)
# PBE PmHO, optimized geometry
# **Raw total energy**: -39.10 eV per cell
# **D(E_F)**: 0.00 states/eV/cell
# **Calculated density**: 6.05 g/cm³
# **Magnetization**: 0.00 μB per formula unit
data_PmHO
_chemical_formula_sum 'Pm2 H2 O2'
_symmetry_space_group_name_H-M 'P 4/n m m'
_symmetry_Int_Tables_number 129
_cell_length_a 3.9994
_cell_length_b 3.9994
_cell_length_c 5.5609
_cell_angle_alpha 90.00
_cell_angle_beta 90.00
_cell_angle_gamma 90.00
loop_
_symmetry_equiv_pos_as_xyz
'x,y,z'
'-x,-y,-z'
'-y+1/2,x,z'
'y+1/2,-x,-z'
'-x+1/2,-y+1/2,z'
'x+1/2,y+1/2,-z'
'y,-x+1/2,z'
'-y,x+1/2,-z'
'x+1/2,-y,-z'
'-x+1/2,y,z'
'-y,-x,-z'
'y,x,z'
'-x,y+1/2,-z'
'x,-y+1/2,z'
'y+1/2,x+1/2,-z'
'-y+1/2,-x+1/2,z'
loop_
_atom_site_label
_atom_site_type_symbol
_atom_site_fract_x
_atom_site_fract_y
_atom_site_fract_z
Pm1 Pm 0.2500 0.2500 0.2141
H1 H 0.2500 0.7500 0.5000
O1 O 0.2500 0.7500 0.0000

---

(5)
# PBE Pm2HO, optimized geometry
# **Raw total energy**: -71.93 eV per cell
# **D(E_F)**: 8.22 states/eV/cell
# **Calculated density**: 7.79 g/cm³
# **Magnetization**: 0.00 μB per formula unit
data_Pm2HO
_chemical_formula_sum 'Pm6 H3 O3'
_symmetry_space_group_name_H-M 'R -3 m'
_symmetry_Int_Tables_number 166
_symmetry_space_group_name_Hall '-R 3 2"'
_cell_length_a 3.6089
_cell_length_b 3.6089
_cell_length_c 17.4162
_cell_angle_alpha 90.00
_cell_angle_beta 90.00
_cell_angle_gamma 120.00
loop_
_atom_site_label
_atom_site_type_symbol
_atom_site_fract_x
_atom_site_fract_y
_atom_site_fract_z
Pm1 Pm 0.0000 0.0000 0.2448
H1 H 0.0000 0.0000 0.0000
O1 O 0.0000 0.0000 0.5000

---

(6)
# PBE PmHO, optimized geometry
# **Raw total energy**: -18.66 eV per cell
# **D(E_F)**: 0.00 states/eV/cell
# **Calculated density**: 4.40 g/cm³
# **Magnetization**: 0.00 μB per formula unit
data_PmHO
_chemical_formula_sum 'Pm1 H1 O1'
_symmetry_space_group_name_H-M 'P 3 m 1'
_symmetry_Int_Tables_number 156
_cell_length_a 3.7367
_cell_length_b 3.7367
_cell_length_c 5.0593
_cell_angle_alpha 90.00
_cell_angle_beta 90.00
_cell_angle_gamma 120.00
loop_
_symmetry_equiv_pos_as_xyz
'x,y,z'
'-y,x-y,z'
'-x+y,-x,z'
'-y,-x,z'
'-x+y,y,z'
'x,x-y,z'
loop_
_atom_site_label
_atom_site_type_symbol
_atom_site_fract_x
_atom_site_fract_y
_atom_site_fract_z
Pm1 Pm 0.0000 0.0000 0.0000
H1 H 0.6667 0.3333 0.2412
O1 O 0.3333 0.6667 0.8706

---

(7)
# PBE Pm2HO3, optimized geometry
# **Raw total energy**: -171.11 eV per cell
# **D(E_F)**: 3.50 states/eV/cell
# **Calculated density**: 7.30 g/cm³
# **Magnetization**: 0.00 μB per formula unit
data_Pm2HO3
_chemical_formula_sum 'Pm8 H4 O12'
_symmetry_space_group_name_H-M 'P n m a'
_symmetry_Int_Tables_number 62
_cell_length_a 8.9061
_cell_length_b 3.4946
_cell_length_c 9.9140
_cell_angle_alpha 90.00
_cell_angle_beta 90.00
_cell_angle_gamma 90.00
loop_
_symmetry_equiv_pos_as_xyz
'x,y,z'
'-x,-y,-z'
'-x+1/2,-y,z+1/2'
'x+1/2,y,-z+1/2'
'x+1/2,-y+1/2,-z+1/2'
'-x+1/2,y+1/2,z+1/2'
'-x,y+1/2,-z'
'x,-y+1/2,z'
loop_
_atom_site_label
_atom_site_type_symbol
_atom_site_fract_x
_atom_site_fract_y
_atom_site_fract_z
Pm1 Pm 0.0034 0.2500 0.1676
Pm2 Pm 0.1895 0.2500 0.5363
H1 H 0.1738 0.7500 0.3362
O1 O 0.0653 0.7500 0.3610
O2 O 0.1394 0.2500 0.9437
O3 O 0.2183 0.7500 0.6910

---

(8)
# PBE Pm2HO, optimized geometry
# **Raw total energy**: -70.72 eV per cell
# **D(E_F)**: 9.48 states/eV/cell
# **Calculated density**: 7.54 g/cm³
# **Magnetization**: 0.00 μB per formula unit
data_Pm2HO
_chemical_formula_sum 'Pm6 H3 O3'
_symmetry_space_group_name_H-M 'R 3 m'
_symmetry_Int_Tables_number 160
_symmetry_space_group_name_Hall 'R 3 -2"'
_cell_length_a 3.6328
_cell_length_b 3.6328
_cell_length_c 17.7359
_cell_angle_alpha 90.00
_cell_angle_beta 90.00
_cell_angle_gamma 120.00
loop_
_atom_site_label
_atom_site_type_symbol
_atom_site_fract_x
_atom_site_fract_y
_atom_site_fract_z
Pm1 Pm 0.0000 0.0000 0.0000
Pm2 Pm 0.0000 0.0000 0.1848
H1 H 0.0000 0.0000 0.4139
O1 O 0.0000 0.0000 0.5920